LiAlS2 after structural relaxation. Source: Alexandria via LeMat-Bulk, functional PBE-GGA.

Properties
Formation energy from raw total energies   -1.15 eV/atom
Density   2.52 g/cm³
Total DFT energy (no corrections)   -4.62 eV per atom

a b c (Å): 5.018 5.018 10.252
angles (deg): 90.00 90.00 90.00
Space group I4_1/amd (No. 141, origin choice 2)
One atom of each set of equivalent atoms:
Li  0.000  0.250  0.375
Al  0.000  0.250  0.875
S  0.000  0.250  0.102

LiAlS2 after structural relaxation. Source: Alexandria via LeMat-Bulk, functional PBE-GGA.

Properties
Formation energy from raw total energies   -1.14 eV/atom
Density   1.77 g/cm³
Total DFT energy (no corrections)   -4.61 eV per atom

a b c (Å): 8.416 3.431 12.745
angles (deg): 90.00 90.00 90.00
Space group Pnma (No. 62)
One atom of each set of equivalent atoms:
Li  0.235  0.250  0.162
Al  0.069  0.250  0.903
S  0.046  0.750  0.781
S  0.184  0.750  0.019

LiAlS2 after structural relaxation. Source: Alexandria via LeMat-Bulk, functional PBE-GGA.

Properties
Formation energy from raw total energies   -1.22 eV/atom
Density   1.66 g/cm³
Total DFT energy (no corrections)   -4.70 eV per atom

a b c (Å): 5.945 6.381 6.613
angles (deg): 106.73 103.48 116.14
Space group P1 (No. 1)
One atom of each set of equivalent atoms:
Li  0.000  0.000  0.000
Li  0.300  0.302  0.600
Al  0.297  0.586  0.300
Al  0.787  0.554  0.300
S  0.170  0.870  0.299
S  0.382  0.396  0.005
S  0.675  0.694  0.595
S  0.916  0.270  0.301